Material: Li3U3PtSe8
Method: DFT, PBE
State: optimized geometry

Calculated values
**Final energy**: -5.916 eV per atom
**DOS at the Fermi energy**: 13.777 states/eV/f.u.

abc: 7.7701 7.7673 8.0664
angles: 118.77 90.00 120.00
Last column: magnetic moment on the atom in μB.
Sites, in units of the cell vectors:
Li 0.0000 0.0000 0.0000  0.00
Li 0.0000 0.5000 0.0000  0.00
Li 0.5000 0.5000 0.0000  0.00
U 0.5000 0.0000 0.5000  2.31
U 0.5000 0.5000 0.5000  2.31
U 0.0000 0.5000 0.5000  2.31
Pt 0.0000 0.0000 0.5000  0.05
Se 0.2448 0.4896 0.2345  -0.06
Se 0.7552 0.5104 0.7655  -0.06
Se 0.7591 0.5183 0.2524  -0.05
Se 0.2409 0.4817 0.7476  -0.05
Se 0.7583 0.9935 0.2518  -0.05
Se 0.2417 0.0065 0.7482  -0.05
Se 0.2352 0.9935 0.2517  -0.05
Se 0.7648 0.0065 0.7483  -0.05